4
Lattice="3.8236 0.0000 0.0000 0.0000 3.8236 0.0000 0.0000 0.0000 8.3502" Properties=species:S:1:pos:R:3 comment="NdY2Sn PBE-GGA relaxed" space_group=P4/mmm pbc="T T T"
Nd 0.0000 0.0000 0.0000
Y 1.9118 1.9118 2.3809
Y 1.9118 1.9118 5.9693
Sn 0.0000 0.0000 4.1751

16
Lattice="4.7807 0.0000 0.0000 0.0000 4.7807 0.0000 0.0000 0.0000 18.8714" Properties=species:S:1:pos:R:3 comment="Nd3YSn12 PBE-GGA relaxed" space_group=P4/mmm pbc="T T T"
Nd 0.0000 0.0000 0.0000
Nd 0.0000 0.0000 4.7419
Nd 0.0000 0.0000 14.1295
Y 0.0000 0.0000 9.4357
Sn 0.0000 2.3904 2.3761
Sn 0.0000 2.3904 7.1321
Sn 0.0000 2.3904 11.7393
Sn 0.0000 2.3904 16.4953
Sn 2.3904 0.0000 2.3761
Sn 2.3904 0.0000 7.1321
Sn 2.3904 0.0000 11.7393
Sn 2.3904 0.0000 16.4953
Sn 2.3904 2.3904 0.0000
Sn 2.3904 2.3904 4.7539
Sn 2.3904 2.3904 9.4357
Sn 2.3904 2.3904 14.1175

15
Lattice="4.6695 2.6960 6.6144 -4.6695 2.6960 6.6144 0.0000 -5.3919 6.6144" Properties=species:S:1:pos:R:3 comment="Nd8YSn6 PBE-GGA relaxed" space_group=R-3 pbc="T T T"
Nd -1.5817 -2.7219 7.8647
Nd 0.0000 0.0000 3.2943
Nd -3.1481 0.0088 11.9784
Nd -1.5664 2.7307 7.8647
Nd 1.5664 -2.7307 11.9785
Nd 3.1481 -0.0088 7.8647
Nd 0.0000 0.0000 16.5489
Nd 1.5817 2.7219 11.9784
Y 0.0000 0.0000 9.9216
Sn -3.0606 0.0031 8.5874
Sn -1.5330 -2.6490 11.2558
Sn 1.5276 -2.6521 8.5874
Sn -1.5276 2.6521 11.2558
Sn 1.5330 2.6490 8.5874
Sn 3.0606 -0.0031 11.2558

4
Lattice="4.8664 0.0000 0.0000 0.0000 4.8664 0.0000 0.0000 0.0000 5.0116" Properties=species:S:1:pos:R:3 comment="Nd2YSn PBE-GGA relaxed" space_group=P4/mmm pbc="T T T"
Nd 0.0000 2.4332 0.0000
Nd 2.4332 0.0000 0.0000
Y 0.0000 0.0000 2.5058
Sn 2.4332 2.4332 2.5058

4
Lattice="4.9000 0.0000 0.0000 0.0000 4.9000 0.0000 0.0000 0.0000 4.8268" Properties=species:S:1:pos:R:3 comment="NdY2Sn PBE-GGA relaxed" space_group=P4/mmm pbc="T T T"
Nd 0.0000 0.0000 0.0000
Y 0.0000 2.4500 2.4134
Y 2.4500 0.0000 2.4134
Sn 2.4500 2.4500 0.0000

8
Lattice="4.6744 0.0000 0.0000 0.0000 4.7553 0.0000 -2.3199 0.0000 11.3325" Properties=species:S:1:pos:R:3 comment="NdY2Sn PBE-GGA relaxed" space_group=P2_1/m pbc="T T T"
Nd -0.0033 1.1888 4.3949
Nd 2.3578 3.5665 6.9375
Y -0.0005 3.5665 1.3450
Y 0.0188 3.5665 9.8522
Y 2.3358 1.1888 1.4803
Y 2.3551 1.1888 9.9875
Sn 0.0254 1.1888 7.6424
Sn 2.3291 3.5665 3.6900

4
Lattice="1.7994 1.0389 10.9897 -1.7994 1.0389 10.9897 0.0000 -2.0778 10.9897" Properties=species:S:1:pos:R:3 comment="NdY2Sn PBE-GGA relaxed" space_group=R-3m pbc="T T T"
Nd 0.0000 0.0000 0.0000
Y 0.0000 0.0000 8.0448
Y 0.0000 0.0000 24.9244
Sn 0.0000 0.0000 16.4846

8
Lattice="-1.9580 3.5932 8.8821 1.9580 -3.5932 8.8821 1.9580 3.5932 -8.8821" Properties=species:S:1:pos:R:3 comment="Nd3YSn4 PBE-GGA relaxed" space_group=Immm pbc="T T T"
Nd 0.0000 0.0000 0.0000
Nd 1.9580 0.0000 5.1859
Nd 0.0000 3.5932 3.6962
Y 0.0000 0.0000 8.8821
Sn 1.9580 1.4841 -2.2735
Sn 1.9580 1.4841 2.2735
Sn 0.0000 2.1091 6.6086
Sn 0.0000 2.1091 11.1555

11
Lattice="8.2505 -3.0938 0.0000 8.2505 3.0938 0.0000 -1.9658 0.0000 7.0693" Properties=species:S:1:pos:R:3 comment="Nd5YSn5 PBE-GGA relaxed" space_group=C2/m pbc="T T T"
Nd 0.0000 0.0000 0.0000
Nd 4.9121 0.0000 1.4623
Nd 4.2651 0.0000 5.0419
Nd 10.2700 0.0000 2.0274
Nd 9.6230 0.0000 5.6071
Y -0.9829 0.0000 3.5347
Sn 1.0064 0.0000 6.0626
Sn 1.9565 0.0000 2.7770
Sn 7.2676 0.0000 3.5347
Sn 12.5786 0.0000 4.2923
Sn 13.5287 0.0000 1.0067

18
Lattice="9.6158 0.0000 0.0000 -4.8079 8.3275 0.0000 0.0000 0.0000 6.7565" Properties=species:S:1:pos:R:3 comment="Nd5YSn3 PBE-GGA relaxed" space_group=P6_3/mcm pbc="T T T"
Nd -1.6040 2.7782 1.6891
Nd -3.2039 5.5493 5.0674
Nd 0.0000 5.5517 0.0000
Nd 0.0000 5.5517 3.3782
Nd 3.2080 0.0000 1.6891
Nd 1.6040 2.7782 5.0674
Nd 6.4078 0.0000 5.0674
Nd 3.2039 5.5493 1.6891
Nd 4.8079 2.7758 0.0000
Nd 4.8079 2.7758 3.3782
Y 0.0000 0.0000 0.0000
Y 0.0000 0.0000 3.3782
Sn -1.5892 2.7526 5.0674
Sn -3.2187 5.5750 1.6891
Sn 3.1784 0.0000 5.0674
Sn 1.5892 2.7526 1.6891
Sn 6.4374 0.0000 1.6891
Sn 3.2187 5.5750 5.0674

12
Lattice="7.4872 -2.2313 0.0000 7.4872 2.2313 0.0000 -4.3538 0.0000 12.1123" Properties=species:S:1:pos:R:3 comment="Nd5Y2Sn5 PBE-GGA relaxed" space_group=C2/m pbc="T T T"
Nd 0.0000 0.0000 0.0000
Nd 0.0420 0.0000 6.5592
Nd -0.2713 0.0000 10.2264
Nd 10.8919 0.0000 1.8859
Nd 10.5785 0.0000 5.5531
Y 3.6462 0.0000 8.6450
Y 6.9743 0.0000 3.4673
Sn 1.6085 0.0000 3.5578
Sn 5.4283 0.0000 0.8946
Sn 5.3103 0.0000 6.0561
Sn 5.1922 0.0000 11.2177
Sn 9.0121 0.0000 8.5545

9
Lattice="8.4937 0.0000 0.0000 -4.2469 7.3558 0.0000 0.0000 0.0000 4.4699" Properties=species:S:1:pos:R:3 comment="Nd6ZnSn2 PBE-GGA relaxed" space_group=P-62m pbc="T T T"
Nd -1.0535 1.8246 0.0000
Nd -2.4837 4.3019 2.2350
Nd 2.1069 0.0000 0.0000
Nd 1.7632 3.0539 2.2350
Nd 4.9674 0.0000 2.2350
Nd 3.1934 5.5311 0.0000
Zn 0.0000 0.0000 2.2350
Sn 0.0000 4.9039 0.0000
Sn 4.2469 2.4519 0.0000

12
Lattice="-2.6252 3.7350 7.9047 2.6252 -3.7350 7.9047 2.6252 3.7350 -7.9047" Properties=species:S:1:pos:R:3 comment="Nd6Zn5Sn PBE-GGA relaxed" space_group=Immm pbc="T T T"
Nd 2.6252 1.8336 -2.6875
Nd 0.0000 1.8046 0.0000
Nd 2.6252 1.8336 2.6875
Nd 0.0000 1.9014 5.2172
Nd 0.0000 5.6653 0.0000
Nd 0.0000 1.9014 10.5923
Zn 2.6252 0.0000 0.0000
Zn 0.0000 0.0000 2.6534
Zn 2.6252 0.0000 5.2479
Zn 0.0000 3.7350 2.6569
Zn 0.0000 0.0000 13.1560
Sn 0.0000 0.0000 7.9047

6
Lattice="0.0000 3.9231 3.9231 3.9231 0.0000 3.9231 3.9231 3.9231 0.0000" Properties=species:S:1:pos:R:3 comment="NdZn4Sn PBE-GGA relaxed" space_group=F-43m pbc="T T T"
Nd 0.0000 0.0000 0.0000
Zn 4.9031 2.9430 2.9430
Zn 2.9430 4.9031 2.9430
Zn 2.9430 2.9430 4.9031
Zn 4.9031 4.9031 4.9031
Sn 1.9615 1.9615 1.9615

19
Lattice="6.8657 3.9639 4.2141 -6.8657 3.9639 4.2141 0.0000 -7.9279 4.2141" Properties=species:S:1:pos:R:3 comment="Nd12ZnSn6 PBE-GGA relaxed" space_group=R-3 pbc="T T T"
Nd -6.2809 -1.4865 6.9718
Nd -1.8531 -6.1827 5.6704
Nd -2.5464 -0.3601 4.9631
Nd -4.4278 4.6962 5.6704
Nd 1.5851 -2.0252 4.9631
Nd -0.9614 -2.3853 7.6791
Nd 0.9614 2.3853 4.9631
Nd -1.5851 2.0252 7.6791
Nd 4.4278 -4.6962 6.9718
Nd 2.5464 0.3601 7.6791
Nd 1.8531 6.1827 6.9718
Nd 6.2809 1.4865 5.6704
Zn 0.0000 0.0000 0.0000
Sn -1.2893 -3.2639 4.4892
Sn -2.1820 2.7485 4.4892
Sn -3.4713 -0.5154 8.1530
Sn 3.4713 0.5154 4.4892
Sn 2.1820 -2.7485 8.1530
Sn 1.2893 3.2640 8.1530

3
Lattice="3.9256 0.0000 0.0000 0.0000 4.3038 0.0000 0.0000 0.0000 4.9371" Properties=species:S:1:pos:R:3 comment="NdZnSn PBE-GGA relaxed" space_group=Pmmm pbc="T T T"
Nd 0.0000 0.0000 0.0000
Zn 1.9628 0.0000 2.4686
Sn 0.0000 2.1519 2.4686

6
Lattice="4.5190 0.0000 0.0000 -2.2595 3.9135 0.0000 0.0000 0.0000 8.5063" Properties=species:S:1:pos:R:3 comment="NdZnSn PBE-GGA relaxed" space_group=P6_3/mmc pbc="T T T"
Nd 0.0000 0.0000 0.0000
Nd 0.0000 0.0000 4.2532
Zn 0.0000 2.6090 2.1266
Zn 2.2595 1.3045 6.3798
Sn 0.0000 2.6090 6.3798
Sn 2.2595 1.3045 2.1266

9
Lattice="5.9441 -2.2772 0.0000 5.9441 2.2772 0.0000 -2.1557 0.0000 8.7503" Properties=species:S:1:pos:R:3 comment="Nd3Zn2Sn4 PBE-GGA relaxed" space_group=C2/m pbc="T T T"
Nd 0.0000 0.0000 0.0000
Nd 3.3228 0.0000 2.9131
Nd 6.4098 0.0000 5.8372
Zn 3.5084 0.0000 6.6052
Zn 6.2242 0.0000 2.1451
Sn 0.0831 0.0000 3.4921
Sn 1.2834 0.0000 8.0159
Sn 8.4492 0.0000 0.7344
Sn 9.6495 0.0000 5.2582

10
Lattice="5.6020 -2.2953 0.0000 5.6020 2.2953 0.0000 -4.9338 0.0000 9.7841" Properties=species:S:1:pos:R:3 comment="Nd2Zn2Sn PBE-GGA relaxed" space_group=C2/m pbc="T T T"
Nd -1.5000 0.0000 3.2228
Nd 1.5889 0.0000 0.9079
Nd 4.6812 0.0000 8.8762
Nd 7.7701 0.0000 6.5613
Zn 1.9312 0.0000 4.3664
Zn 4.7683 0.0000 1.0746
Zn 1.5018 0.0000 8.7096
Zn 4.3389 0.0000 5.4177
Sn -0.1864 0.0000 6.5083
Sn 6.4565 0.0000 3.2758

7
Lattice="2.6102 1.5070 8.4630 -2.6102 1.5070 8.4630 0.0000 -3.0140 8.4630" Properties=species:S:1:pos:R:3 comment="Nd4Zn2Sn PBE-GGA relaxed" space_group=R-3m pbc="T T T"
Nd 0.0000 0.0000 2.9477
Nd 0.0000 0.0000 9.3525
Nd 0.0000 0.0000 16.0366
Nd 0.0000 0.0000 22.4415
Zn 0.0000 0.0000 6.3105
Zn 0.0000 0.0000 19.0787
Sn 0.0000 0.0000 12.6946

VASP energy values (in eV/atom) by entry order: -5.746, -4.784, -5.147, -5.440, -5.849, -5.850, -5.668, -5.176, -5.066, -5.268, -5.293, -4.639, -3.623, -2.474, -4.686, -3.588, -3.933, -4.225, -3.680, -3.947.
Energy of formation from the pure elements values (in eV/atom) by entry order: -0.321, -0.484, -0.572, -0.440, -0.425, -0.426, -0.244, -0.579, -0.491, -0.567, -0.562, -0.430, -0.375, -0.163, -0.344, -0.240, -0.585, -0.574, -0.463, -0.287.